Entry w
A relaxed Pm3Nd4Y5 crystal. Source: Alexandria, functional PBE-GGA.

CIF file:
```
data_Pm3Nd4Y5
_space_group_name_H-M_alt 'C 1 2/m 1'
_space_group_IT_number 12
_space_group_name_Hall '-C 2y'
_cell_length_a 16.287
_cell_length_b 6.015
_cell_length_c 9.433
_cell_angle_alpha 90.00
_cell_angle_beta 116.29
_cell_angle_gamma 90.00
loop_
_atom_site_label
_atom_site_fract_x
_atom_site_fract_y
_atom_site_fract_z
_atom_site_occupancy
Pm1 0.000 0.000 0.000 1
Pm2 0.210 0.500 0.233 1
Nd1 0.084 0.500 0.446 1
Nd2 0.213 0.500 0.883 1
Y1 0.000 0.500 0.000 1
Y2 0.072 0.000 0.701 1
Y3 0.171 0.000 0.386 1
```

DOS at the Fermi energy	19.3	states/eV/f.u.
crystal system	monoclinic

Entry x
A relaxed Pm3Nd4Y5 crystal. Source: Alexandria, functional PBE-GGA.

CIF file:
```
data_Pm3Nd4Y5
_space_group_name_H-M_alt 'P -1'
_space_group_IT_number 2
_space_group_name_Hall '-P 1'
_cell_length_a 6.287
_cell_length_b 7.251
_cell_length_c 8.881
_cell_angle_alpha 90.11
_cell_angle_beta 90.13
_cell_angle_gamma 90.04
loop_
_atom_site_label
_atom_site_fract_x
_atom_site_fract_y
_atom_site_fract_z
_atom_site_occupancy
Pm1 0.000 0.000 0.000 1
Pm2 0.167 0.751 0.669 1
Nd1 0.168 0.250 0.669 1
Nd2 0.331 0.500 0.333 1
Y1 0.000 0.500 0.000 1
Y2 0.333 0.000 0.331 1
Y3 0.500 0.249 0.000 1
```

DOS at the Fermi energy	17.1	states/eV/f.u.
crystal system	triclinic

entry x ends up most stable, edging out the next structure by 0.198 eV/atom.

Entry w
A relaxed Pm7NdY2 crystal. Source: Alexandria, functional PBE-GGA.

CIF file:
```
data_Pm7NdY2
_space_group_name_H-M_alt 'C m m m'
_space_group_IT_number 65
_space_group_name_Hall '-C 2 2'
_cell_length_a 12.110
_cell_length_b 17.072
_cell_length_c 3.515
_cell_angle_alpha 90.00
_cell_angle_beta 90.00
_cell_angle_gamma 90.00
loop_
_atom_site_label
_atom_site_fract_x
_atom_site_fract_y
_atom_site_fract_z
_atom_site_occupancy
Pm1 0.000 0.000 0.000 1
Pm2 0.000 0.175 0.500 1
Pm3 0.243 0.131 0.000 1
Nd1 0.000 0.500 0.500 1
Y1 0.000 0.330 0.000 1
```

DOS at the Fermi energy	16.6	states/eV/f.u.
crystal system	orthorhombic

Entry x
A relaxed Pm7NdY2 crystal. Source: Alexandria, functional PBE-GGA.

CIF file:
```
data_Pm7NdY2
_space_group_name_H-M_alt 'C m m m'
_space_group_IT_number 65
_space_group_name_Hall '-C 2 2'
_cell_length_a 8.685
_cell_length_b 17.108
_cell_length_c 5.591
_cell_angle_alpha 90.00
_cell_angle_beta 90.00
_cell_angle_gamma 90.00
loop_
_atom_site_label
_atom_site_fract_x
_atom_site_fract_y
_atom_site_fract_z
_atom_site_occupancy
Pm1 0.000 0.000 0.000 1
Pm2 0.000 0.292 0.500 1
Pm3 0.179 0.389 0.000 1
Nd1 0.000 0.500 0.500 1
Y1 0.000 0.207 0.000 1
```

DOS at the Fermi energy	16.1	states/eV/f.u.
crystal system	orthorhombic

entry w ends up most stable, edging out the next structure by 0.263 eV/atom.

Entry w
A relaxed Pm3Nd7Y2 crystal. Source: Alexandria, functional PBE-GGA.

CIF file:
```
data_Pm3Nd7Y2
_space_group_name_H-M_alt 'P 1 2/m 1'
_space_group_IT_number 10
_space_group_name_Hall '-P 2y'
_cell_length_a 5.980
_cell_length_b 3.633
_cell_length_c 19.317
_cell_angle_alpha 90.00
_cell_angle_beta 93.23
_cell_angle_gamma 90.00
loop_
_atom_site_label
_atom_site_fract_x
_atom_site_fract_y
_atom_site_fract_z
_atom_site_occupancy
Pm1 0.000 0.000 0.000 1
Pm2 0.282 0.500 0.633 1
Nd1 0.183 0.500 0.145 1
Nd2 0.243 0.000 0.465 1
Nd3 0.314 0.000 0.818 1
Nd4 0.500 0.500 0.000 1
Y1 0.209 0.000 0.296 1
```

DOS at the Fermi energy	17.0	states/eV/f.u.
crystal system	monoclinic

Entry x
A relaxed Pm3Nd7Y2 crystal. Source: Alexandria, functional PBE-GGA.

CIF file:
```
data_Pm3Nd7Y2
_space_group_name_H-M_alt 'P 1 2/m 1'
_space_group_IT_number 10
_space_group_name_Hall '-P 2y'
_cell_length_a 6.538
_cell_length_b 3.596
_cell_length_c 17.870
_cell_angle_alpha 90.00
_cell_angle_beta 96.03
_cell_angle_gamma 90.00
loop_
_atom_site_label
_atom_site_fract_x
_atom_site_fract_y
_atom_site_fract_z
_atom_site_occupancy
Pm1 0.000 0.000 0.000 1
Pm2 0.047 0.500 0.661 1
Nd1 0.227 0.500 0.168 1
Nd2 0.243 0.000 0.504 1
Nd3 0.276 0.000 0.830 1
Nd4 0.500 0.500 0.000 1
Y1 0.444 0.000 0.330 1
```

DOS at the Fermi energy	18.5	states/eV/f.u.
crystal system	monoclinic

entry x ends up most stable, edging out the next structure by 0.016 eV/atom.

Entry w
A relaxed Pm2Nd6Y crystal. Source: Alexandria, functional PBE-GGA.

CIF file:
```
data_Pm2Nd6Y
_space_group_name_H-M_alt 'C 1 2/c 1'
_space_group_IT_number 15
_space_group_name_Hall '-C 2yc'
_cell_length_a 10.952
_cell_length_b 18.084
_cell_length_c 6.292
_cell_angle_alpha 90.00
_cell_angle_beta 93.36
_cell_angle_gamma 90.00
loop_
_atom_site_label
_atom_site_fract_x
_atom_site_fract_y
_atom_site_fract_z
_atom_site_occupancy
Pm1 0.250 0.080 0.000 1
Nd1 0.081 0.085 0.502 1
Nd2 0.081 0.415 0.502 1
Nd3 0.169 0.250 0.243 1
Y1 0.000 0.250 0.750 1
```

DOS at the Fermi energy	15.3	states/eV/f.u.
crystal system	monoclinic

Entry x
A relaxed Pm2Nd6Y crystal. Source: Alexandria, functional PBE-GGA.

CIF file:
```
data_Pm2Nd6Y
_space_group_name_H-M_alt 'C m m m'
_space_group_IT_number 65
_space_group_name_Hall '-C 2 2'
_cell_length_a 9.994
_cell_length_b 17.382
_cell_length_c 3.581
_cell_angle_alpha 90.00
_cell_angle_beta 90.00
_cell_angle_gamma 90.00
loop_
_atom_site_label
_atom_site_fract_x
_atom_site_fract_y
_atom_site_fract_z
_atom_site_occupancy
Pm1 0.000 0.167 0.000 1
Nd1 0.167 0.334 0.500 1
Nd2 0.168 0.000 0.500 1
Y1 0.000 0.500 0.000 1
```

DOS at the Fermi energy	13.3	states/eV/f.u.
crystal system	orthorhombic

entry x ends up most stable, edging out the next structure by 0.043 eV/atom.

Entry w
A relaxed Pm5Nd3Y3 crystal. Source: Alexandria, functional PBE-GGA.

CIF file:
```
data_Pm5Nd3Y3
_space_group_name_H-M_alt 'P -6 2 m'
_space_group_IT_number 189
_space_group_name_Hall 'P -6 -2'
_cell_length_a 9.7491
_cell_length_b 9.7491
_cell_length_c 5.5736
_cell_angle_alpha 90.00
_cell_angle_beta 90.00
_cell_angle_gamma 120.00
loop_
_atom_site_label
_atom_site_fract_x
_atom_site_fract_y
_atom_site_fract_z
_atom_site_occupancy
Pm1 0.0000 0.2693 0.0000 1
Pm2 0.3333 0.6667 0.0000 1
Nd1 0.0000 0.6404 0.0000 1
Y1 0.0000 0.4657 0.5000 1
```

DOS at the Fermi energy	16.8	states/eV/f.u.
crystal system	hexagonal

Entry x
A relaxed Pm5Nd3Y3 crystal. Source: Alexandria, functional PBE-GGA.

CIF file:
```
data_Pm5Nd3Y3
_space_group_name_H-M_alt 'P -6 2 m'
_space_group_IT_number 189
_space_group_name_Hall 'P -6 -2'
_cell_length_a 9.7150
_cell_length_b 9.7150
_cell_length_c 5.5992
_cell_angle_alpha 90.00
_cell_angle_beta 90.00
_cell_angle_gamma 120.00
loop_
_atom_site_label
_atom_site_fract_x
_atom_site_fract_y
_atom_site_fract_z
_atom_site_occupancy
Pm1 0.0000 0.3817 0.0000 1
Pm2 0.3333 0.6667 0.0000 1
Nd1 0.0000 0.5883 0.5000 1
Y1 0.0000 0.7520 0.0000 1
```

DOS at the Fermi energy	20.8	states/eV/f.u.
crystal system	hexagonal

entry x ends up most stable, edging out the next structure by 0.006 eV/atom.

Entry w
A relaxed PmNd4Y3 crystal. Source: Alexandria, functional PBE-GGA.

CIF file:
```
data_PmNd4Y3
_space_group_name_H-M_alt 'C 1 2/m 1'
_space_group_IT_number 12
_space_group_name_Hall '-C 2y'
_cell_length_a 23.922
_cell_length_b 3.490
_cell_length_c 6.898
_cell_angle_alpha 90.00
_cell_angle_beta 106.27
_cell_angle_gamma 90.00
loop_
_atom_site_label
_atom_site_fract_x
_atom_site_fract_y
_atom_site_fract_z
_atom_site_occupancy
Pm1 0.000 0.000 0.000 1
Nd1 0.124 0.500 0.369 1
Nd2 0.241 0.000 0.238 1
Y1 0.000 0.500 0.500 1
Y2 0.124 0.500 0.881 1
```

DOS at the Fermi energy	14.4	states/eV/f.u.
crystal system	monoclinic

Entry x
A relaxed PmNd4Y3 crystal. Source: Alexandria, functional PBE-GGA.

CIF file:
```
data_PmNd4Y3
_space_group_name_H-M_alt 'P m n 21'
_space_group_IT_number 31
_space_group_name_Hall 'P 2ac -2'
_cell_length_a 11.697
_cell_length_b 7.380
_cell_length_c 6.371
_cell_angle_alpha 90.00
_cell_angle_beta 90.00
_cell_angle_gamma 90.00
loop_
_atom_site_label
_atom_site_fract_x
_atom_site_fract_y
_atom_site_fract_z
_atom_site_occupancy
Pm1 0.000 0.126 0.000 1
Nd1 0.000 0.373 0.506 1
Nd2 0.000 0.627 0.999 1
Nd3 0.248 0.625 0.334 1
Y1 0.000 0.878 0.499 1
Y2 0.250 0.122 0.334 1
```

DOS at the Fermi energy	14.6	states/eV/f.u.
crystal system	orthorhombic

entry x ends up most stable, edging out the next structure by 0.142 eV/atom.

Entry w
A relaxed PmNd7Y3 crystal. Source: Alexandria, functional PBE-GGA.

CIF file:
```
data_PmNd7Y3
_space_group_name_H-M_alt 'C 1 2/m 1'
_space_group_IT_number 12
_space_group_name_Hall '-C 2y'
_cell_length_a 12.898
_cell_length_b 11.442
_cell_length_c 5.958
_cell_angle_alpha 90.00
_cell_angle_beta 117.47
_cell_angle_gamma 90.00
loop_
_atom_site_label
_atom_site_fract_x
_atom_site_fract_y
_atom_site_fract_z
_atom_site_occupancy
Pm1 0.000 0.000 0.000 1
Nd1 0.000 0.000 0.500 1
Nd2 0.196 0.292 0.196 1
Nd3 0.212 0.500 0.710 1
Y1 0.000 0.298 0.500 1
Y2 0.000 0.500 0.000 1
```

DOS at the Fermi energy	16.1	states/eV/f.u.
crystal system	monoclinic

Entry x
A relaxed PmNd7Y3 crystal. Source: Alexandria, functional PBE-GGA.

CIF file:
```
data_PmNd7Y3
_space_group_name_H-M_alt 'C 1 2/m 1'
_space_group_IT_number 12
_space_group_name_Hall '-C 2y'
_cell_length_a 11.862
_cell_length_b 10.251
_cell_length_c 6.484
_cell_angle_alpha 90.00
_cell_angle_beta 95.74
_cell_angle_gamma 90.00
loop_
_atom_site_label
_atom_site_fract_x
_atom_site_fract_y
_atom_site_fract_z
_atom_site_occupancy
Pm1 0.000 0.000 0.000 1
Nd1 0.000 0.000 0.500 1
Nd2 0.237 0.500 0.713 1
Nd3 0.250 0.174 0.760 1
Y1 0.000 0.331 0.500 1
Y2 0.000 0.500 0.000 1
```

DOS at the Fermi energy	15.7	states/eV/f.u.
crystal system	monoclinic

entry w ends up most stable, edging out the next structure by 0.005 eV/atom.

Entry w
A relaxed Pm2Nd5Y2 crystal. Source: Alexandria, functional PBE-GGA.

CIF file:
```
data_Pm2Nd5Y2
_space_group_name_H-M_alt 'I m a 2'
_space_group_IT_number 46
_space_group_name_Hall 'I 2 -2a'
_cell_length_a 15.064
_cell_length_b 12.012
_cell_length_c 6.904
_cell_angle_alpha 90.00
_cell_angle_beta 90.00
_cell_angle_gamma 90.00
loop_
_atom_site_label
_atom_site_fract_x
_atom_site_fract_y
_atom_site_fract_z
_atom_site_occupancy
Pm1 0.127 0.004 0.000 1
Nd1 0.053 0.745 0.653 1
Nd2 0.143 0.236 0.319 1
Nd3 0.250 0.742 0.350 1
Y1 0.000 0.000 0.481 1
Y2 0.250 0.008 0.540 1
```

DOS at the Fermi energy	13.5	states/eV/f.u.
crystal system	orthorhombic

Entry x
A relaxed Pm2Nd5Y2 crystal. Source: Alexandria, functional PBE-GGA.

CIF file:
```
data_Pm2Nd5Y2
_space_group_name_H-M_alt 'P -1'
_space_group_IT_number 2
_space_group_name_Hall '-P 1'
_cell_length_a 3.602
_cell_length_b 5.735
_cell_length_c 15.385
_cell_angle_alpha 100.74
_cell_angle_beta 90.03
_cell_angle_gamma 90.03
loop_
_atom_site_label
_atom_site_fract_x
_atom_site_fract_y
_atom_site_fract_z
_atom_site_occupancy
Pm1 0.000 0.174 0.349 1
Nd1 0.000 0.500 0.000 1
Nd2 0.498 0.062 0.124 1
Nd3 0.500 0.286 0.571 1
Y1 0.002 0.389 0.777 1
```

DOS at the Fermi energy	14.4	states/eV/f.u.
crystal system	triclinic

entry x ends up most stable, edging out the next structure by 0.152 eV/atom.

Entry w
A relaxed Pm4Nd7Y crystal. Source: Alexandria, functional PBE-GGA.

CIF file:
```
data_Pm4Nd7Y
_space_group_name_H-M_alt 'P -1'
_space_group_IT_number 2
_space_group_name_Hall '-P 1'
_cell_length_a 6.389
_cell_length_b 7.383
_cell_length_c 9.132
_cell_angle_alpha 89.95
_cell_angle_beta 76.49
_cell_angle_gamma 89.98
loop_
_atom_site_label
_atom_site_fract_x
_atom_site_fract_y
_atom_site_fract_z
_atom_site_occupancy
Pm1 0.223 0.000 0.333 1
Pm2 0.277 0.750 0.669 1
Nd1 0.000 0.000 0.000 1
Nd2 0.223 0.500 0.333 1
Nd3 0.278 0.249 0.668 1
Nd4 0.500 0.250 0.000 1
Y1 0.000 0.500 0.000 1
```

DOS at the Fermi energy	15.5	states/eV/f.u.
crystal system	triclinic

Entry x
A relaxed Pm4Nd7Y crystal. Source: Alexandria, functional PBE-GGA.

CIF file:
```
data_Pm4Nd7Y
_space_group_name_H-M_alt 'C 1 2/m 1'
_space_group_IT_number 12
_space_group_name_Hall '-C 2y'
_cell_length_a 12.237
_cell_length_b 6.122
_cell_length_c 12.977
_cell_angle_alpha 90.00
_cell_angle_beta 117.87
_cell_angle_gamma 90.00
loop_
_atom_site_label
_atom_site_fract_x
_atom_site_fract_y
_atom_site_fract_z
_atom_site_occupancy
Pm1 0.062 0.000 0.324 1
Pm2 0.136 0.500 0.778 1
Nd1 0.000 0.000 0.000 1
Nd2 0.131 0.500 0.500 1
Nd3 0.208 0.000 0.921 1
Nd4 0.243 0.000 0.680 1
Y1 0.000 0.500 0.000 1
```

DOS at the Fermi energy	19.3	states/eV/f.u.
crystal system	monoclinic

entry w ends up most stable, edging out the next structure by 0.233 eV/atom.

Entry w
A relaxed PmNd3Y crystal. Source: Alexandria, functional PBE-GGA.

CIF file:
```
data_PmNd3Y
_space_group_name_H-M_alt 'C m c e'
_space_group_IT_number 64
_space_group_name_Hall '-C 2ac 2'
_cell_length_a 13.245
_cell_length_b 13.270
_cell_length_c 7.879
_cell_angle_alpha 90.00
_cell_angle_beta 90.00
_cell_angle_gamma 90.00
loop_
_atom_site_label
_atom_site_fract_x
_atom_site_fract_y
_atom_site_fract_z
_atom_site_occupancy
Pm1 0.000 0.100 0.119 1
Nd1 0.000 0.100 0.616 1
Nd2 0.150 0.249 0.883 1
Y1 0.250 0.001 0.250 1
```

DOS at the Fermi energy	6.4	states/eV/f.u.
crystal system	orthorhombic

Entry x
A relaxed PmNd3Y crystal. Source: Alexandria, functional PBE-GGA.

CIF file:
```
data_PmNd3Y
_space_group_name_H-M_alt 'P -1'
_space_group_IT_number 2
_space_group_name_Hall '-P 1'
_cell_length_a 6.403
_cell_length_b 6.965
_cell_length_c 9.448
_cell_angle_alpha 108.86
_cell_angle_beta 90.00
_cell_angle_gamma 117.34
loop_
_atom_site_label
_atom_site_fract_x
_atom_site_fract_y
_atom_site_fract_z
_atom_site_occupancy
Pm1 0.036 0.399 0.150 1
Nd1 0.164 0.998 0.252 1
Nd2 0.367 0.399 0.649 1
Nd3 0.438 0.200 0.951 1
Y1 0.234 0.798 0.550 1
```

DOS at the Fermi energy	8.7	states/eV/f.u.
crystal system	triclinic

entry x ends up most stable, edging out the next structure by 0.085 eV/atom.